1.
# EuGdCdRh | the Alexandria database | PBE | relaxed
data_EuGdCdRh
_chemical_formula_sum 'Eu4 Gd4 Cd4 Rh4'
_symmetry_space_group_name_H-M 'F -4 3 m'
_symmetry_Int_Tables_number 216
_symmetry_space_group_name_Hall 'F -4 2 3'
_cell_length_a 7.300
_cell_length_b 7.300
_cell_length_c 7.300
_cell_angle_alpha 90.00
_cell_angle_beta 90.00
_cell_angle_gamma 90.00
loop_
_atom_site_label
_atom_site_type_symbol
_atom_site_fract_x
_atom_site_fract_y
_atom_site_fract_z
Eu1 Eu 0.000 0.000 0.000
Gd1 Gd 0.000 0.000 0.500
Cd1 Cd 0.250 0.250 0.250
Rh1 Rh 0.250 0.250 0.750
# * VASP energy: -8.535 eV per atom
# * N(E_F): 1.7229 states/eV per atom

***

2.
# EuGdCdSb | the Alexandria database | PBE | relaxed
data_EuGdCdSb
_chemical_formula_sum 'Eu4 Gd4 Cd4 Sb4'
_symmetry_space_group_name_H-M 'F -4 3 m'
_symmetry_Int_Tables_number 216
_symmetry_space_group_name_Hall 'F -4 2 3'
_cell_length_a 7.714
_cell_length_b 7.714
_cell_length_c 7.714
_cell_angle_alpha 90.00
_cell_angle_beta 90.00
_cell_angle_gamma 90.00
loop_
_atom_site_label
_atom_site_type_symbol
_atom_site_fract_x
_atom_site_fract_y
_atom_site_fract_z
Eu1 Eu 0.000 0.000 0.000
Gd1 Gd 0.000 0.000 0.500
Cd1 Cd 0.250 0.250 0.750
Sb1 Sb 0.250 0.250 0.250
# * VASP energy: -7.917 eV per atom
# * N(E_F): 1.6011 states/eV per atom
# * formation energy from raw total energies: -0.569 eV per atom

***

3.
# SmEuGdCd | the Alexandria database | PBE | relaxed
data_SmEuGdCd
_chemical_formula_sum 'Sm4 Eu4 Gd4 Cd4'
_symmetry_space_group_name_H-M 'F -4 3 m'
_symmetry_Int_Tables_number 216
_symmetry_space_group_name_Hall 'F -4 2 3'
_cell_length_a 7.871
_cell_length_b 7.871
_cell_length_c 7.871
_cell_angle_alpha 90.00
_cell_angle_beta 90.00
_cell_angle_gamma 90.00
loop_
_atom_site_label
_atom_site_type_symbol
_atom_site_fract_x
_atom_site_fract_y
_atom_site_fract_z
Sm1 Sm 0.000 0.000 0.000
Eu1 Eu 0.250 0.250 0.250
Gd1 Gd 0.000 0.000 0.500
Cd1 Cd 0.250 0.250 0.750
# * VASP energy: -7.522 eV per atom
# * N(E_F): 1.5698 states/eV per atom

***

4.
# TbEuGdCd | the Alexandria database | PBE | relaxed
data_TbEuGdCd
_chemical_formula_sum 'Tb4 Eu4 Gd4 Cd4'
_symmetry_space_group_name_H-M 'F -4 3 m'
_symmetry_Int_Tables_number 216
_symmetry_space_group_name_Hall 'F -4 2 3'
_cell_length_a 7.824
_cell_length_b 7.824
_cell_length_c 7.824
_cell_angle_alpha 90.00
_cell_angle_beta 90.00
_cell_angle_gamma 90.00
loop_
_atom_site_label
_atom_site_type_symbol
_atom_site_fract_x
_atom_site_fract_y
_atom_site_fract_z
Tb1 Tb 0.000 0.000 0.000
Eu1 Eu 0.250 0.250 0.250
Gd1 Gd 0.000 0.000 0.500
Cd1 Cd 0.250 0.250 0.750
# * VASP energy: -7.489 eV per atom
# * N(E_F): 1.6574 states/eV per atom

***

5.
# EuGdTlCd | the Alexandria database | PBE | relaxed
data_EuGdTlCd
_chemical_formula_sum 'Eu4 Gd4 Tl4 Cd4'
_symmetry_space_group_name_H-M 'F -4 3 m'
_symmetry_Int_Tables_number 216
_symmetry_space_group_name_Hall 'F -4 2 3'
_cell_length_a 7.771
_cell_length_b 7.771
_cell_length_c 7.771
_cell_angle_alpha 90.00
_cell_angle_beta 90.00
_cell_angle_gamma 90.00
loop_
_atom_site_label
_atom_site_type_symbol
_atom_site_fract_x
_atom_site_fract_y
_atom_site_fract_z
Eu1 Eu 0.000 0.000 0.000
Gd1 Gd 0.000 0.000 0.500
Tl1 Tl 0.250 0.250 0.250
Cd1 Cd 0.250 0.250 0.750
# * VASP energy: -7.275 eV per atom
# * N(E_F): 1.8527 states/eV per atom

***

6.
# EuGdYCd | the Alexandria database | PBE | relaxed
data_EuGdYCd
_chemical_formula_sum 'Eu4 Gd4 Y4 Cd4'
_symmetry_space_group_name_H-M 'F -4 3 m'
_symmetry_Int_Tables_number 216
_symmetry_space_group_name_Hall 'F -4 2 3'
_cell_length_a 7.835
_cell_length_b 7.835
_cell_length_c 7.835
_cell_angle_alpha 90.00
_cell_angle_beta 90.00
_cell_angle_gamma 90.00
loop_
_atom_site_label
_atom_site_type_symbol
_atom_site_fract_x
_atom_site_fract_y
_atom_site_fract_z
Eu1 Eu 0.000 0.000 0.000
Gd1 Gd 0.250 0.250 0.750
Y1 Y 0.250 0.250 0.250
Cd1 Cd 0.000 0.000 0.500
# * VASP energy: -7.951 eV per atom
# * N(E_F): 1.0223 states/eV per atom

***

7.
# EuGdZnCd | the Alexandria database | PBE | relaxed
data_EuGdZnCd
_chemical_formula_sum 'Eu4 Gd4 Zn4 Cd4'
_symmetry_space_group_name_H-M 'F -4 3 m'
_symmetry_Int_Tables_number 216
_symmetry_space_group_name_Hall 'F -4 2 3'
_cell_length_a 7.535
_cell_length_b 7.535
_cell_length_c 7.535
_cell_angle_alpha 90.00
_cell_angle_beta 90.00
_cell_angle_gamma 90.00
loop_
_atom_site_label
_atom_site_type_symbol
_atom_site_fract_x
_atom_site_fract_y
_atom_site_fract_z
Eu1 Eu 0.000 0.000 0.000
Gd1 Gd 0.000 0.000 0.500
Zn1 Zn 0.250 0.250 0.250
Cd1 Cd 0.250 0.250 0.750
# * VASP energy: -6.926 eV per atom
# * N(E_F): 0.6350 states/eV per atom

***

8.
# EuCd2Ge | the Alexandria database | PBE | relaxed
data_EuCd2Ge
_chemical_formula_sum 'Eu3 Cd6 Ge3'
_symmetry_space_group_name_H-M 'R -3 m'
_symmetry_Int_Tables_number 166
_symmetry_space_group_name_Hall '-R 3 2"'
_cell_length_a 3.3057
_cell_length_b 3.3057
_cell_length_c 33.3767
_cell_angle_alpha 90.00
_cell_angle_beta 90.00
_cell_angle_gamma 120.00
loop_
_atom_site_label
_atom_site_type_symbol
_atom_site_fract_x
_atom_site_fract_y
_atom_site_fract_z
Eu1 Eu 0.0000 0.0000 0.0000
Cd1 Cd 0.0000 0.0000 0.0965
Ge1 Ge 0.0000 0.0000 0.5000
# * energy above the lowest structure with this stoichiometry: 0.5428 eV per atom
# * VASP energy: -3.929 eV per atom
# * N(E_F): 0.6783 states/eV per atom

***

Q: Number 6 is which compound?
A: EuGdYCd